*A*
{"formula": "LiErTe3Pb", "functional": "PBE", "state": "optimized geometry", "lattice": [[9.476, -2.170, 0.000], [9.476, 2.170, 0.000], [-2.163, 0.000, 8.985]], "species": ["Er", "Er", "Pb", "Pb", "Li", "Li", "Te", "Te", "Te", "Te", "Te", "Te"], "fractional_positions": [[0.835, 0.835, 0.914], [0.165, 0.165, 0.086], [0.866, 0.866, 0.436], [0.134, 0.134, 0.564], [0.505, 0.505, 0.198], [0.495, 0.495, 0.802], [0.322, 0.322, 0.677], [0.500, 0.500, 0.500], [0.678, 0.678, 0.323], [0.000, 0.000, 0.000], [0.331, 0.331, 0.147], [0.669, 0.669, 0.853]], "m_tot_mub_per_cell": 0.01}

=====

*B*
{"formula": "LiErTe3Pb", "functional": "PBE", "state": "optimized geometry", "lattice": [[-1.105, 5.126, 5.447], [0.019, -7.337, -1.825], [10.924, -0.683, 2.859]], "species": ["Te", "Te", "Te", "Te", "Te", "Te", "Li", "Li", "Er", "Er", "Pb", "Pb"], "fractional_positions": [[0.087, 0.913, 0.250], [0.358, 0.642, 0.440], [0.913, 0.087, 0.750], [0.358, 0.642, 0.060], [0.642, 0.358, 0.560], [0.642, 0.358, 0.940], [0.525, 0.475, 0.750], [0.475, 0.525, 0.250], [0.000, 0.000, 0.500], [0.000, 0.000, 0.000], [0.241, 0.759, 0.750], [0.759, 0.241, 0.250]], "m_tot_mub_per_cell": 0.00}

=====

Sorted by energy, starting with the most stable: *A*, *B*.

=====

*A*
{"formula": "ZnTeNO", "functional": "PBE", "state": "optimized geometry", "lattice": [[-4.931, -0.138, 1.830], [0.316, -5.611, 0.427], [2.705, 0.711, 7.344]], "species": ["Te", "Te", "Te", "Te", "Zn", "Zn", "Zn", "Zn", "O", "O", "O", "O", "N", "N", "N", "N"], "fractional_positions": [[0.491, 0.935, 0.633], [0.991, 0.065, 0.367], [0.491, 0.435, 0.367], [0.991, 0.565, 0.633], [0.468, 0.935, 0.099], [0.968, 0.565, 0.099], [0.968, 0.065, 0.901], [0.468, 0.435, 0.901], [0.087, 0.401, 0.884], [0.587, 0.599, 0.116], [0.087, 0.901, 0.116], [0.587, 0.099, 0.884], [0.656, 0.144, 0.259], [0.156, 0.856, 0.741], [0.656, 0.644, 0.741], [0.156, 0.356, 0.259]]}

=====

*B*
{"formula": "ZnTeNO", "functional": "PBE", "state": "optimized geometry", "lattice": [[-0.749, 1.325, 4.570], [4.336, -1.474, 1.492], [1.989, 4.721, -1.008]], "species": ["O", "O", "N", "N", "Te", "Te", "Zn", "Zn"], "fractional_positions": [[0.709, 0.209, 0.999], [0.209, 0.709, 0.999], [0.201, 0.201, 0.440], [0.703, 0.703, 0.561], [0.767, 0.268, 0.500], [0.268, 0.767, 0.500], [0.821, 0.821, 0.920], [0.322, 0.322, 0.082]]}

=====

Sorted by energy, starting with the most stable: *A*, *B*.

=====

*A*
{"formula": "BaAgPO", "functional": "PBE", "state": "optimized geometry", "lattice": [[-2.641, 0.696, -2.470], [-4.317, -5.895, 2.954], [-2.560, 3.779, 3.801]], "species": ["P", "P", "Ba", "Ba", "O", "O", "Ag", "Ag"], "fractional_positions": [[0.000, 0.555, 0.980], [0.000, 0.445, 0.480], [0.000, 0.852, 0.510], [0.000, 0.148, 0.010], [0.500, 0.988, 0.251], [0.500, 0.012, 0.751], [0.500, 0.242, 0.513], [0.500, 0.758, 0.013]]}

=====

*B*
{"formula": "BaAgPO", "functional": "PBE", "state": "optimized geometry", "lattice": [[-4.165, 4.972, 0.133], [0.583, 0.661, -6.427], [-3.609, -3.006, -0.637]], "species": ["P", "P", "Ba", "Ba", "O", "O", "Ag", "Ag"], "fractional_positions": [[0.250, 0.250, 0.502], [0.750, 0.750, 0.498], [0.250, 0.750, 0.500], [0.750, 0.250, 0.500], [0.250, 0.750, 0.000], [0.750, 0.250, 0.000], [0.250, 0.250, 0.002], [0.750, 0.750, 0.998]]}

=====

Sorted by energy, starting with the most stable: *A*, *B*.

=====

*A*
{"formula": "KBeCd", "functional": "PBE", "state": "optimized geometry", "lattice": [[0.000, 3.599, 3.599], [3.599, 0.000, 3.599], [3.599, 3.599, 0.000]], "species": ["K", "Be", "Cd"], "fractional_positions": [[0.750, 0.750, 0.750], [0.250, 0.250, 0.250], [0.000, 0.000, 0.000]]}

=====

*B*
{"formula": "KBeCd", "functional": "PBE", "state": "optimized geometry", "lattice": [[0.000, 3.520, 3.520], [3.520, 0.000, 3.520], [3.520, 3.520, 0.000]], "species": ["Cd", "Be", "K"], "fractional_positions": [[0.250, 0.250, 0.250], [0.000, 0.000, 0.000], [0.750, 0.750, 0.750]]}

=====

Sorted by energy, starting with the most stable: *B*, *A*.

=====

*A*
{"formula": "Dy2Sc2CBr2Cl3", "functional": "PBE", "state": "optimized geometry", "lattice": [[8.679, -1.829, 0.000], [8.679, 1.829, 0.000], [-1.681, 0.000, 7.604]], "species": ["Cl", "Cl", "Cl", "Sc", "Sc", "Br", "Br", "C", "Dy", "Dy"], "fractional_positions": [[0.500, 0.500, 0.500], [0.161, 0.161, 0.309], [0.839, 0.839, 0.691], [0.368, 0.368, 0.931], [0.632, 0.632, 0.069], [0.829, 0.829, 0.163], [0.171, 0.171, 0.837], [0.500, 0.500, 0.000], [0.000, 0.000, 0.211], [0.000, 0.000, 0.789]], "m_tot_mub_per_cell": 0.00}

=====

*B*
{"formula": "Dy2Sc2CBr2Cl3", "functional": "PBE", "state": "optimized geometry", "lattice": [[-6.661, 3.895, -3.921], [-7.890, 0.483, -3.525], [-1.384, 1.345, 7.306]], "species": ["Br", "Br", "C", "Sc", "Sc", "Cl", "Cl", "Cl", "Dy", "Dy"], "fractional_positions": [[0.838, 0.838, 0.640], [0.162, 0.162, 0.360], [0.500, 0.500, 0.000], [0.999, 0.999, 0.200], [0.001, 0.001, 0.800], [0.834, 0.834, 0.177], [0.166, 0.166, 0.823], [0.500, 0.500, 0.500], [0.642, 0.642, 0.072], [0.358, 0.358, 0.928]], "m_tot_mub_per_cell": 0.03}

=====

Sorted by energy, starting with the most stable: *A*, *B*.

=====

*A*
{"formula": "ZnSbNO", "functional": "PBE", "state": "optimized geometry", "lattice": [[-1.100, -3.337, -0.690], [5.142, -1.499, -0.947], [0.639, -1.380, 5.654]], "species": ["N", "N", "Sb", "Sb", "O", "O", "Zn", "Zn"], "fractional_positions": [[0.000, 0.621, 0.095], [0.000, 0.379, 0.595], [0.000, 0.732, 0.472], [0.000, 0.268, 0.972], [0.500, 0.144, 0.169], [0.500, 0.856, 0.669], [0.500, 0.783, 0.010], [0.500, 0.217, 0.510]]}

=====

*B*
{"formula": "ZnSbNO", "functional": "PBE", "state": "optimized geometry", "lattice": [[5.799, 0.000, 0.000], [0.000, 8.252, 0.000], [0.000, 0.000, 5.298]], "species": ["O", "O", "O", "O", "N", "N", "N", "N", "Sb", "Sb", "Sb", "Sb", "Zn", "Zn", "Zn", "Zn"], "fractional_positions": [[0.628, 0.232, 0.634], [0.372, 0.768, 0.134], [0.128, 0.768, 0.634], [0.872, 0.232, 0.134], [0.911, 0.613, 0.096], [0.411, 0.387, 0.096], [0.589, 0.613, 0.596], [0.089, 0.387, 0.596], [0.549, 0.176, 0.001], [0.451, 0.824, 0.501], [0.049, 0.824, 0.001], [0.951, 0.176, 0.501], [0.410, 0.422, 0.472], [0.090, 0.422, 0.972], [0.910, 0.578, 0.472], [0.590, 0.578, 0.972]]}

=====

Sorted by energy, starting with the most stable: *B*, *A*.

=====

*A*
{"formula": "AlZnCd", "functional": "PBE", "state": "optimized geometry", "lattice": [[0.000, 3.135, 3.135], [3.135, 0.000, 3.135], [3.135, 3.135, 0.000]], "species": ["Zn", "Al", "Cd"], "fractional_positions": [[0.500, 0.500, 0.500], [0.000, 0.000, 0.000], [0.750, 0.750, 0.750]]}

=====

*B*
{"formula": "AlZnCd", "functional": "PBE", "state": "optimized geometry", "lattice": [[-2.312, 1.676, 3.321], [-2.831, 3.261, -0.728], [-4.309, -0.741, 0.262]], "species": ["Al", "Zn", "Cd"], "fractional_positions": [[0.250, 0.250, 0.250], [0.000, 0.000, 0.000], [0.750, 0.750, 0.750]]}

=====

Sorted by energy, starting with the most stable: *B*, *A*.

=====

*A*
{"formula": "NdMg", "functional": "PBE", "state": "optimized geometry", "lattice": [[-5.218, 0.409, 3.495], [-3.157, -8.932, -3.670], [2.550, -2.589, 4.109]], "species": ["Nd", "Nd", "Nd", "Nd", "Nd", "Nd", "Mg", "Mg", "Mg", "Mg", "Mg", "Mg"], "fractional_positions": [[0.025, 0.989, 0.000], [0.358, 0.981, 0.500], [0.525, 0.178, 0.000], [0.780, 0.515, 0.500], [0.280, 0.652, 0.500], [0.858, 0.185, 0.500], [0.479, 0.500, 0.000], [0.830, 0.838, 0.500], [0.029, 0.354, 0.000], [0.330, 0.329, 0.500], [0.529, 0.813, 0.000], [0.979, 0.667, 0.000]], "m_tot_mub_per_cell": 0.01}

=====

*B*
{"formula": "NdMg", "functional": "PBE", "state": "optimized geometry", "lattice": [[18.041, 0.000, 0.000], [0.000, 7.088, 0.000], [0.000, 0.000, 5.453]], "species": ["Nd", "Nd", "Nd", "Nd", "Nd", "Nd", "Nd", "Nd", "Nd", "Nd", "Nd", "Nd", "Mg", "Mg", "Mg", "Mg", "Mg", "Mg", "Mg", "Mg", "Mg", "Mg", "Mg", "Mg"], "fractional_positions": [[0.505, 0.259, 0.000], [0.940, 0.259, 0.500], [0.492, 0.738, 0.000], [0.781, 0.996, 0.500], [0.453, 0.012, 0.500], [0.440, 0.491, 0.500], [0.163, 0.754, 0.000], [0.663, 0.996, 0.000], [0.992, 0.011, 0.000], [0.005, 0.491, 0.000], [0.281, 0.754, 0.500], [0.953, 0.739, 0.500], [0.669, 0.504, 0.000], [0.612, 0.732, 0.500], [0.275, 0.246, 0.500], [0.326, 0.480, 0.000], [0.826, 0.269, 0.000], [0.832, 0.732, 0.000], [0.618, 0.270, 0.500], [0.112, 0.018, 0.500], [0.332, 0.018, 0.000], [0.169, 0.246, 0.000], [0.118, 0.481, 0.500], [0.775, 0.504, 0.500]], "m_tot_mub_per_cell": 0.05}

=====

Sorted by energy, starting with the most stable: *A*, *B*.